Below is crystalline NpHgI6 at its relaxed geometry, with properties calculated at the GGA-PBE level.

Final energy   -26.716 eV for the cell shown
M_tot   3.00 μB/f.u.
Symmetry   C2/m, No. 12

Cell lengths 7.8408, 7.8408, 7.6723 Å; angles 100.74, 100.74, 121.52 degrees
Atoms (fractional coordinates):
Np (0.0000, 0.0000, 0.0000)
Hg (0.5000, 0.5000, 0.5000)
I (0.1013, 0.4138, 0.2558)
I (0.2300, 0.2300, 0.7695)
I (0.4138, 0.1013, 0.2558)
I (0.5863, 0.8987, 0.7442)
I (0.7700, 0.7700, 0.2305)
I (0.8987, 0.5863, 0.7442)

---

Below is crystalline Ag2GeBS4 at its relaxed geometry, with properties calculated at the GGA-PBE level.

Final energy   -34.744 eV for the cell shown
M_tot   0.00 μB/f.u.
Symmetry   I-4, No. 82

Cell lengths 6.4960, 6.4960, 6.4960 Å; angles 128.70, 128.70, 75.49 degrees
Atoms (fractional coordinates):
Ag (0.0000, 0.0000, 0.0000)
Ag (0.7500, 0.2500, 0.5000)
Ge (0.2500, 0.7500, 0.5000)
B (0.5000, 0.5000, 0.0000)
S (0.1960, 0.1877, 0.5966)
S (0.4006, 0.8040, 0.9917)
S (0.5910, 0.5994, 0.4034)
S (0.8123, 0.4090, 0.0083)

---

Below is crystalline SrEuBiPd at its relaxed geometry, with properties calculated at the GGA-PBE level.

ΔH_f (0 K)   -2.7 eV/f.u.
M_tot   6.90 μB/f.u.
Symmetry   F-43m, No. 216

Cell lengths 5.5078, 5.5078, 5.5078 Å; angles 60.00, 60.00, 60.00 degrees
Atoms (fractional coordinates):
Sr (0.0000, 0.0000, 0.0000)
Eu (0.5000, 0.5000, 0.5000)
Bi (0.2500, 0.2500, 0.2500)
Pd (0.7500, 0.7500, 0.7500)

---

Below is crystalline RbGeBi2 at its relaxed geometry, with properties calculated at the GGA-PBE level.

ΔH_f (0 K)   0.3 eV/f.u.
M_tot   0.00 μB/f.u.
Symmetry   R-3m, No. 166

Cell lengths 10.1028, 10.1028, 10.1028 Å; angles 23.07, 23.07, 23.07 degrees
Atoms (fractional coordinates):
Rb (0.0000, 0.0000, 0.0000)
Ge (0.5000, 0.5000, 0.5000)
Bi (0.2289, 0.2289, 0.2289)
Bi (0.7711, 0.7711, 0.7711)

---

Below is crystalline RbLi2PuBr6 at its relaxed geometry, with properties calculated at the GGA-PBE level.

Final energy   -44.577 eV for the cell shown
M_tot   5.00 μB/f.u.
Symmetry   R3, No. 146

Cell lengths 7.9758, 7.9758, 7.9758 Å; angles 55.23, 55.23, 55.23 degrees
Atoms (fractional coordinates):
Rb (0.0000, 0.0000, 0.0000)
Li (0.2741, 0.2741, 0.2741)
Li (0.7840, 0.7840, 0.7840)
Pu (0.4725, 0.4725, 0.4725)
Br (0.0501, 0.6040, 0.4754)
Br (0.1917, 0.5314, 0.8915)
Br (0.4754, 0.0501, 0.6040)
Br (0.5314, 0.8915, 0.1917)
Br (0.6040, 0.4754, 0.0501)
Br (0.8915, 0.1917, 0.5314)

---

no.,volume (Å³ per cell)
1,371.7
2,162.4
3,118.1
4,138.9
5,318.9